VASP calculation (PBE) on crystalline Ba2PuThSe6 at its relaxed geometry.

Cell: 7.538 7.992 13.266 Å, 90.00 124.35 90.00°
Space group P2_1/c (No. 14)
Asymmetric unit:
Ba 0.226 0.074 0.250
Pu 0.000 0.000 0.500
Th 0.500 0.000 0.000
Se 0.140 0.202 0.949
Se 0.249 0.697 0.949
Se 0.343 0.025 0.746

Results
ΔE_f (raw) in eV per atom: -1.718
Fermi-level density of states in states/eV per atom: 1.097